Density functional theory data (GGA+U) for a geometry-optimized LaYCr2O8 structure.

Output
VASP energy, eV per atom: -7.816

Lattice parameters (Å, degrees): 7.3831 7.3831 6.4192 90.00 90.00 90.00
Space group I-4m2 (No. 119)
One atom of each set of equivalent atoms:
1 La 0.0000 0.0000 0.0000 x2
2 Y 0.0000 0.5000 0.2500 x2
3 Cr 0.0000 0.0000 0.5000 x2
4 Cr 0.0000 0.5000 0.7500 x2
5 O 0.0000 0.1855 0.3353 x8
6 O 0.0000 0.3229 0.9246 x8